[1]
Below is a relaxed Sb4Pt crystal, with properties calculated at the PBE-GGA level.

```
Sb4Pt
1.0
3.133 -6.419 0.000
3.133 6.419 0.000
0.000 0.000 6.906
Pt Sb
2 8
Cartesian
3.133 -3.906 5.179
3.133 3.906 1.726
5.111 2.329 2.659
4.559 0.413 5.505
5.111 -2.329 4.247
1.154 2.329 0.794
4.559 -0.413 1.401
1.706 -0.413 2.052
1.706 0.413 4.854
1.154 -2.329 6.112
```

Calculated values
- calculated volume (Å³ per atom) = 27.77
- excess energy over the best structure of this formula in the dataset (eV/atom) = 0.000

=====

[2]
Below is a relaxed NaInCoSb crystal, with properties calculated at the PBE-GGA level.

```
NaInCoSb
1.0
0.000 3.471 3.471
3.471 0.000 3.471
3.471 3.471 0.000
Sb Co In Na
1 1 1 1
Cartesian
3.471 3.471 3.471
0.000 0.000 0.000
1.736 1.736 1.736
5.207 5.207 5.207
```

Calculated values
- calculated volume (Å³ per atom) = 20.92
- excess energy over the best structure of this formula in the dataset (eV/atom) = 0.302

=====

[3]
Below is a relaxed NdAl8Co2 crystal, with properties calculated at the PBE-GGA level.

```
NdAl8Co2
1.0
-1.976 -11.328 -4.794
14.174 -2.176 -0.700
-0.056 -1.549 3.684
Al Co Nd
32 8 4
Cartesian
4.157 -7.530 -0.935
-1.556 -10.197 -2.143
10.519 -8.762 -1.356
7.114 -11.654 -2.624
11.755 -6.551 -0.408
8.988 -5.233 0.104
9.868 -6.216 -2.464
7.406 -2.991 -1.145
10.185 -11.233 -2.400
5.028 -3.399 0.815
2.331 -7.289 -3.030
4.792 -10.513 -4.348
2.631 -12.262 -2.948
3.390 -1.635 -0.636
-0.039 -3.956 -1.664
1.624 -6.292 -0.453
9.511 -2.791 1.139
5.848 -9.467 -1.724
3.154 -9.820 -1.913
-1.016 -6.439 -0.555
6.099 -6.752 -2.747
0.387 -8.502 -1.401
1.957 -3.821 0.591
6.294 -5.587 -0.085
10.357 -13.703 -3.437
8.809 -11.869 -4.857
7.059 -1.863 1.492
0.000 0.000 0.000
7.985 -7.523 -0.874
12.237 -9.548 -3.829
13.698 -4.856 0.334
1.785 -1.350 1.628
6.521 -12.234 -5.045
5.677 -1.271 -0.448
1.060 -1.934 -0.797
11.138 -11.571 -4.696
4.437 -8.268 -3.409
0.286 -6.259 -2.628
7.761 -5.237 -2.084
11.912 -7.246 -2.866
11.291 -3.593 -1.339
8.350 -8.957 -3.640
0.907 -9.911 -4.154
3.848 -4.547 -1.854
```

Calculated values
- calculated volume (Å³ per atom) = 16.25
- E_tot (eV/atom) = -4.9153

=====

[4]
Below is a relaxed In6IrSe crystal, with properties calculated at the PBE-GGA level.

```
In6IrSe
1.0
-0.028 6.290 1.364
0.437 -4.324 4.763
5.897 -2.628 -2.930
In Se Ir
6 1 1
Cartesian
4.633 -1.736 -0.413
4.900 -3.244 2.882
1.602 -1.607 1.900
1.406 2.582 0.316
1.673 1.074 3.611
4.705 0.945 1.297
0.000 0.000 0.000
3.167 -3.476 0.917
```

Calculated values
- calculated volume (Å³ per atom) = 27.16
- E_tot (eV/atom) = -3.6486

=====

[5]
Below is a relaxed TaCo2 crystal, with properties calculated at the PBE-GGA level.

```
TaCo2
1.0
9.219 0.000 0.000
0.000 9.219 0.000
0.000 0.000 4.705
Ta Co
10 20
Cartesian
1.965 4.011 2.352
0.599 6.575 0.000
4.011 1.965 2.352
8.621 2.644 0.000
4.610 4.610 2.352
6.575 0.599 0.000
2.644 8.621 0.000
5.208 7.254 2.352
7.254 5.208 2.352
0.000 0.000 0.000
0.397 5.874 2.352
3.345 8.822 2.352
7.955 5.007 0.000
4.212 1.265 0.000
7.568 7.568 1.180
1.652 1.652 3.525
5.528 5.528 0.000
1.265 4.212 0.000
3.691 3.691 0.000
1.652 1.652 1.180
6.261 2.958 1.172
8.301 0.918 2.352
2.958 6.261 1.172
2.958 6.261 3.533
0.918 8.301 2.352
8.822 3.345 2.352
5.874 0.397 2.352
5.007 7.955 0.000
6.261 2.958 3.533
7.568 7.568 3.525
```

Calculated values
- calculated volume (Å³ per atom) = 13.33
- formation energy from the elements (eV/atom) = 0.116

=====

[6]
Below is a relaxed InCu3ReS4 crystal, with properties calculated at the PBE-GGA level.

```
InCu3ReS4
1.0
5.743 0.000 0.000
0.000 5.743 0.000
0.000 0.000 5.743
Re S In Cu
1 4 1 3
Cartesian
2.872 2.872 2.872
1.549 4.194 4.194
4.194 4.194 1.549
4.194 1.549 4.194
1.549 1.549 1.549
0.000 0.000 0.000
2.872 0.000 2.872
2.872 2.872 0.000
0.000 2.872 2.872
```

Calculated values
- calculated volume (Å³ per atom) = 21.05
- E_tot (eV/atom) = -4.7467